Record 1
Material: LiCeDyIn
Method: DFT, PBE-GGA
State: optimized geometry

Output
D(E_F) = 2.62 states/eV/atom
space-group type = F-43m (216)
size of the total moment = 1.03 μB per formula unit
raw total energy = -3.94 eV per atom

Cell lengths 5.336, 5.336, 5.336 Å; angles 60.00, 60.00, 60.00 degrees
Fractional positions:
Li  0.000  0.000  0.000
Ce  0.250  0.250  0.250
Dy  0.750  0.750  0.750
In  0.500  0.500  0.500



Record 2
Material: Li2CeDy2In2
Method: DFT, PBE-GGA
State: optimized geometry

Output
D(E_F) = 1.40 states/eV/atom
space-group type = R-3m (166)
size of the total moment = 1.40 μB per formula unit
raw total energy = -3.67 eV per atom

Cell lengths 9.101, 9.101, 9.101 Å; angles 31.46, 31.46, 31.46 degrees
Fractional positions:
Li  0.099  0.099  0.099
Li  0.901  0.901  0.901
Ce  0.500  0.500  0.500
Dy  0.372  0.372  0.372
Dy  0.628  0.628  0.628
In  0.239  0.239  0.239
In  0.761  0.761  0.761



Record 3
Material: LiCe2DyIn4
Method: DFT, PBE-GGA
State: optimized geometry

Output
D(E_F) = 1.74 states/eV/atom
space-group type = R-3m (166)
size of the total moment = 1.66 μB per formula unit
raw total energy = -4.02 eV per atom

Cell lengths 9.329, 9.329, 9.329 Å; angles 32.91, 32.91, 32.91 degrees
Fractional positions:
Li  0.000  0.000  0.000
Ce  0.254  0.254  0.254
Ce  0.746  0.746  0.746
Dy  0.500  0.500  0.500
In  0.123  0.123  0.123
In  0.374  0.374  0.374
In  0.626  0.626  0.626
In  0.877  0.877  0.877